# GGA-PBE BaCd5Ga2, relaxed
data_BaCd5Ga2
_cell_length_a 4.558
_cell_length_b 8.063
_cell_length_c 10.818
_cell_angle_alpha 90.00
_cell_angle_beta 90.00
_cell_angle_gamma 90.00
_space_group_name_H-M_alt 'I m m m'
_space_group_IT_number 71
_space_group_name_Hall '-I 2 2'
loop_
_atom_site_label
_atom_site_type_symbol
_atom_site_fract_x
_atom_site_fract_y
_atom_site_fract_z
Ba1 Ba 0.000 0.000 0.000
Cd1 Cd 0.000 0.187 0.356
Cd2 Cd 0.000 0.500 0.000
Ga1 Ga 0.000 0.500 0.253
# Magnetization (μB per formula unit): 0.0
# DOS at the Fermi energy (states/eV/cell): 4.359
# Formation enthalpy at 0 K (eV per atom): -0.229


# GGA-PBE Na3Ce2ErS6, relaxed
data_Na3Ce2ErS6
_cell_length_a 7.066
_cell_length_b 12.240
_cell_length_c 7.066
_cell_angle_alpha 90.00
_cell_angle_beta 109.50
_cell_angle_gamma 90.00
_space_group_name_H-M_alt 'C 1 2/m 1'
_space_group_IT_number 12
_space_group_name_Hall '-C 2y'
loop_
_atom_site_label
_atom_site_type_symbol
_atom_site_fract_x
_atom_site_fract_y
_atom_site_fract_z
Na1 Na 0.000 0.000 0.000
Na2 Na 0.000 0.334 0.000
Ce1 Ce 0.000 0.167 0.500
Er1 Er 0.000 0.500 0.500
S1 S 0.239 0.338 0.730
S2 S 0.247 0.500 0.271
# Magnetization (μB per formula unit): 2.0
# DOS at the Fermi energy (states/eV/cell): 24.370
# ΔE_f (raw) (eV per formula unit): -21.2


# GGA-PBE BaLi2ThBr8, relaxed
data_BaLi2ThBr8
_cell_length_a 6.775
_cell_length_b 6.782
_cell_length_c 9.602
_cell_angle_alpha 89.66
_cell_angle_beta 89.66
_cell_angle_gamma 83.39
_space_group_name_H-M_alt 'P -1'
_space_group_IT_number 2
_space_group_name_Hall '-P 1'
loop_
_atom_site_label
_atom_site_type_symbol
_atom_site_fract_x
_atom_site_fract_y
_atom_site_fract_z
Ba1 Ba 0.000 0.000 0.000
Li1 Li 0.497 0.497 0.182
Th1 Th 0.000 0.000 0.500
Br1 Br 0.224 0.789 0.276
Br2 Br 0.224 0.789 0.723
Br3 Br 0.266 0.281 0.497
Br4 Br 0.310 0.324 0.999
# Magnetization (μB per formula unit): 0.0
# DOS at the Fermi energy (states/eV/cell): 0.000
# ΔE_f (raw) (eV per formula unit): -20.7


# GGA-PBE NaTl2BiO6, relaxed
data_NaTl2BiO6
_cell_length_a 5.7945
_cell_length_b 5.7945
_cell_length_c 15.3665
_cell_angle_alpha 90.00
_cell_angle_beta 90.00
_cell_angle_gamma 120.00
_space_group_name_H-M_alt 'R 3'
_space_group_IT_number 146
_space_group_name_Hall 'R 3'
loop_
_atom_site_label
_atom_site_type_symbol
_atom_site_fract_x
_atom_site_fract_y
_atom_site_fract_z
Na1 Na 0.0000 0.0000 0.0000
Tl1 Tl 0.0000 0.0000 0.2771
Tl2 Tl 0.0000 0.0000 0.7806
Bi1 Bi 0.0000 0.0000 0.4873
O1 O 0.0093 0.7235 0.3942
O2 O 0.0313 0.3410 0.5540
# Magnetization (μB per formula unit): 0.0
# DOS at the Fermi energy (states/eV/cell): 33.675
# ΔE_f (raw) (eV per formula unit): -8.9


# GGA-PBE SrY2W, relaxed
data_SrY2W
_cell_length_a 3.282
_cell_length_b 3.282
_cell_length_c 10.732
_cell_angle_alpha 90.00
_cell_angle_beta 90.00
_cell_angle_gamma 90.00
_space_group_name_H-M_alt 'P 4 m m'
_space_group_IT_number 99
_space_group_name_Hall 'P 4 -2'
loop_
_atom_site_label
_atom_site_type_symbol
_atom_site_fract_x
_atom_site_fract_y
_atom_site_fract_z
Sr1 Sr 0.000 0.000 0.000
Y1 Y 0.000 0.000 0.413
Y2 Y 0.500 0.500 0.689
W1 W 0.500 0.500 0.223
# Relative energy among the computed polymorphs (meV per atom): 296.5
# Magnetization (μB per formula unit): 0.0
# DOS at the Fermi energy (states/eV/cell): 6.228
# Formation enthalpy at 0 K (eV per atom): 0.731


# GGA-PBE Tb7SmZn4, relaxed
data_Tb7SmZn4
_cell_length_a 14.020
_cell_length_b 5.565
_cell_length_c 9.711
_cell_angle_alpha 90.00
_cell_angle_beta 122.81
_cell_angle_gamma 90.00
_space_group_name_H-M_alt 'C 1 2/m 1'
_space_group_IT_number 12
_space_group_name_Hall '-C 2y'
loop_
_atom_site_label
_atom_site_type_symbol
_atom_site_fract_x
_atom_site_fract_y
_atom_site_fract_z
Tb1 Tb 0.000 0.000 0.000
Tb2 Tb 0.071 0.500 0.406
Tb3 Tb 0.208 0.500 0.880
Tb4 Tb 0.222 0.000 0.673
Sm1 Sm 0.000 0.500 0.000
Zn1 Zn 0.040 0.000 0.730
Zn2 Zn 0.179 0.000 0.338
# Magnetization (μB per formula unit): 0.3
# DOS at the Fermi energy (states/eV/cell): 27.064
# Formation enthalpy at 0 K (eV per atom): -0.004


# GGA-PBE LiEr2Ir, relaxed
data_LiEr2Ir
_cell_length_a 4.787
_cell_length_b 4.787
_cell_length_c 3.594
_cell_angle_alpha 90.00
_cell_angle_beta 90.00
_cell_angle_gamma 90.00
_space_group_name_H-M_alt 'P 4/m m m'
_space_group_IT_number 123
_space_group_name_Hall '-P 4 2'
loop_
_atom_site_label
_atom_site_type_symbol
_atom_site_fract_x
_atom_site_fract_y
_atom_site_fract_z
Li1 Li 0.000 0.000 0.000
Er1 Er 0.000 0.500 0.500
Ir1 Ir 0.500 0.500 0.000
# Relative energy among the computed polymorphs (meV per atom): 122.3
# Magnetization (μB per formula unit): 0.0
# DOS at the Fermi energy (states/eV/cell): 3.002
# Formation enthalpy at 0 K (eV per atom): -0.492


# GGA-PBE AlFeHg2, relaxed
data_AlFeHg2
_cell_length_a 5.817
_cell_length_b 8.128
_cell_length_c 3.081
_cell_angle_alpha 90.00
_cell_angle_beta 90.00
_cell_angle_gamma 90.00
_space_group_name_H-M_alt 'C m m m'
_space_group_IT_number 65
_space_group_name_Hall '-C 2 2'
loop_
_atom_site_label
_atom_site_type_symbol
_atom_site_fract_x
_atom_site_fract_y
_atom_site_fract_z
Al1 Al 0.000 0.000 0.000
Fe1 Fe 0.000 0.500 0.000
Hg1 Hg 0.250 0.250 0.500
# Magnetization (μB per formula unit): 2.6
# DOS at the Fermi energy (states/eV/cell): 3.765
# Formation enthalpy at 0 K (eV per atom): 0.356


Question: The lowest DOS at the Fermi energy belongs to which entry?
Answer: BaLi2ThBr8